No. 1
Here is a relaxed structure of GdTmCuRu from Alexandria via LeMat-Bulk. Energies are from PBE-GGA.

Properties
SG = F-43m
formation energy from the elements = -0.33 eV/atom
DOS at the Fermi energy = 0.719 states/eV per atom

Unit cell a=4.846 b=4.846 c=4.846 alpha=60.00 beta=60.00 gamma=60.00
Each line ends with the local moment (μB).
Element x y z (fractional)
Gd (0.500, 0.500, 0.500)  7.05
Ru (0.750, 0.750, 0.750)  -0.10
Tm (0.000, 0.000, 0.000)  0.06
Cu (0.250, 0.250, 0.250)  0.01

=====

No. 2
Here is a relaxed structure of SrTl2Zn from Alexandria via LeMat-Bulk. Energies are from PBE-GGA.

Properties
SG = P2/m
formation energy from the elements = -0.15 eV/atom
DOS at the Fermi energy = 0.453 states/eV per atom

Unit cell a=4.772 b=3.963 c=6.398 alpha=77.21 beta=90.00 gamma=90.00
Element x y z (fractional)
Sr (0.500, 0.750, 0.750)
Tl (0.000, 0.084, 0.038)
Tl (0.000, 0.416, 0.462)
Zn (0.500, 0.250, 0.250)

=====

No. 3
Here is a relaxed structure of LaZr2Cu from Alexandria via LeMat-Bulk. Energies are from PBE-GGA.

Properties
SG = P4/mmm
formation energy from the elements = 0.05 eV/atom
DOS at the Fermi energy = 1.418 states/eV per atom
energy relative to the lowest polymorph listed for this composition = 0.075 eV/atom

Unit cell a=3.348 b=3.348 c=8.132 alpha=90.00 beta=90.00 gamma=90.00
Element x y z (fractional)
Zr (0.000, 0.000, 0.057)
Zr (0.000, 0.000, 0.443)
La (0.500, 0.500, 0.750)
Cu (0.500, 0.500, 0.250)

=====

No. 4
Here is a relaxed structure of Na2InPbS4 from Alexandria via LeMat-Bulk. Energies are from PBE-GGA.

Properties
SG = P2/m
DOS at the Fermi energy = 0.344 states/eV per atom
final energy = -3.926 eV per atom

Unit cell a=3.930 b=6.876 c=7.153 alpha=108.66 beta=90.00 gamma=90.00
Element x y z (fractional)
S (0.000, 0.237, 0.768)
S (0.000, 0.763, 0.232)
S (0.500, 0.227, 0.224)
S (0.500, 0.773, 0.776)
Na (0.000, 0.500, 0.500)
Na (0.500, 0.000, 0.500)
Pb (0.500, 0.500, 0.000)
In (0.000, 0.000, 0.000)